Here is BaFeRuF2 after structural relaxation from the Alexandria database. Energies are from PBE with a Hubbard U.

## Properties
As for the space group: No. 123. The value obtained for the total energy is -20.3 eV for the cell shown.

Cell: 4.717 4.717 7.973 Å, 90.00 90.00 90.00°
Positions (direct):
Ba: 0.000 0.000 0.000
Fe: 0.000 0.000 0.500
Ru: 0.500 0.500 0.500
F: 0.000 0.500 0.000
F: 0.500 0.000 0.000